[1]
{
  "formula": "BaCaLa2H",
  "functional": "GGA-PBE",
  "state": "optimized geometry",
  "lattice_angstrom": [[5.321, 0.000, 0.000], [0.000, 5.321, 0.000], [0.000, 0.000, 5.877]],
  "species": ["Ba", "Ca", "La", "La", "H"],
  "fractional_positions": [[0.000, 0.000, 0.000], [0.500, 0.500, 0.000], [0.000, 0.500, 0.500], [0.500, 0.000, 0.500], [0.000, 0.000, 0.500]],
  "dos_at_fermi_per_ev_cell": 5.10,
  "m_tot_mub_per_cell": 0.00,
  "de_polymorph_mev_per_atom": 0,
  "vol_a3_per_atom": 33.280
}

[2]
{
  "formula": "BaLiCa2H",
  "functional": "GGA-PBE",
  "state": "optimized geometry",
  "lattice_angstrom": [[5.175, 0.000, 0.000], [0.000, 5.175, 0.000], [0.000, 0.000, 5.896]],
  "species": ["Ba", "Li", "Ca", "Ca", "H"],
  "fractional_positions": [[0.000, 0.000, 0.000], [0.500, 0.500, 0.000], [0.000, 0.500, 0.500], [0.500, 0.000, 0.500], [0.000, 0.000, 0.500]],
  "dos_at_fermi_per_ev_cell": 3.84,
  "e_tot_ry_per_atom": -0.1707,
  "m_tot_mub_per_cell": 0.00,
  "vol_a3_per_atom": 31.577
}

[3]
{
  "formula": "Ba2CaMgH",
  "functional": "GGA-PBE",
  "state": "optimized geometry",
  "lattice_angstrom": [[5.882, 0.000, 0.000], [0.000, 5.882, 0.000], [0.000, 0.000, 4.999]],
  "species": ["Ba", "Ba", "Ca", "Mg", "H"],
  "fractional_positions": [[0.000, 0.500, 0.000], [0.500, 0.000, 0.000], [0.000, 0.000, 0.500], [0.500, 0.500, 0.500], [0.500, 0.500, 0.000]],
  "dos_at_fermi_per_ev_cell": 6.21,
  "m_tot_mub_per_cell": 0.00,
  "de_polymorph_mev_per_atom": 72,
  "vol_a3_per_atom": 34.594
}

[4]
{
  "formula": "Ba2CaMgH",
  "functional": "GGA-PBE",
  "state": "optimized geometry",
  "lattice_angstrom": [[5.961, 0.000, 0.000], [0.000, 5.961, 0.000], [0.000, 0.000, 4.889]],
  "species": ["Ba", "Ba", "Ca", "Mg", "H"],
  "fractional_positions": [[0.000, 0.500, 0.000], [0.500, 0.000, 0.000], [0.000, 0.000, 0.500], [0.500, 0.500, 0.500], [0.000, 0.000, 0.000]],
  "dos_at_fermi_per_ev_cell": 4.28,
  "m_tot_mub_per_cell": 0.00,
  "de_polymorph_mev_per_atom": 0,
  "vol_a3_per_atom": 34.743
}

What is the formula in the second record?
BaLiCa2H